Density functional theory data (PBE-GGA) for a geometry-optimized Na3Mn2NbSe6 structure.

Unit cell a=6.730 b=6.730 c=7.221 alpha=98.95 beta=98.95 gamma=119.98
Positions (direct):
Na 0.167 0.833 0.500
Na 0.833 0.167 0.500
Na 0.500 0.500 0.500
Mn 0.333 0.667 0.000
Mn 0.667 0.333 0.000
Nb 0.000 0.000 0.000
Se 0.930 0.600 0.791
Se 0.739 0.739 0.209
Se 0.070 0.400 0.209
Se 0.600 0.930 0.791
Se 0.261 0.261 0.791
Se 0.400 0.070 0.209

Summary:
D(E_F) = 3.23 states/eV/f.u.
Formation energy from raw total energies = -0.776 eV per atom
Symmetry = C2/m (12)



Density functional theory data (PBE-GGA) for a geometry-optimized Na4Mn3NbSe8 structure.

Unit cell a=7.736 b=8.206 c=7.737 alpha=118.14 beta=120.00 gamma=90.00
Positions (direct):
Na 0.500 0.000 0.000
Na 0.500 0.000 0.500
Na 0.000 0.000 0.000
Na 0.000 0.000 0.500
Mn 0.500 0.500 0.000
Mn 0.500 0.500 0.500
Mn 0.000 0.500 0.500
Nb 0.000 0.500 0.000
Se 0.235 0.712 0.977
Se 0.235 0.712 0.470
Se 0.268 0.303 0.536
Se 0.742 0.712 0.977
Se 0.258 0.288 0.023
Se 0.732 0.697 0.464
Se 0.765 0.288 0.530
Se 0.765 0.288 0.023

Summary:
D(E_F) = 6.36 states/eV/f.u.
Formation energy from raw total energies = -0.764 eV per atom
Symmetry = R-3m (166)



Density functional theory data (PBE-GGA) for a geometry-optimized Na3Mn3NbSe8 structure.

Unit cell a=7.551 b=7.551 c=8.293 alpha=117.08 beta=90.00 gamma=120.00
Positions (direct):
Na 0.000 0.000 0.000
Na 0.000 0.500 0.000
Na 0.500 0.500 0.000
Mn 0.500 0.000 0.500
Mn 0.500 0.500 0.500
Mn 0.000 0.500 0.500
Nb 0.000 0.000 0.500
Se 0.266 0.531 0.298
Se 0.734 0.469 0.702
Se 0.764 0.527 0.294
Se 0.236 0.473 0.706
Se 0.764 0.030 0.294
Se 0.236 0.970 0.706
Se 0.266 0.030 0.294
Se 0.734 0.970 0.706

Summary:
D(E_F) = 5.84 states/eV/f.u.
Formation energy from raw total energies = -0.715 eV per atom
Symmetry = R-3m (166)



Density functional theory data (PBE-GGA) for a geometry-optimized Na2MnNb2Se6 structure.

Unit cell a=6.428 b=6.428 c=7.444 alpha=96.98 beta=96.98 gamma=119.27
Positions (direct):
Na 0.819 0.181 0.000
Na 0.181 0.819 0.000
Mn 0.000 0.000 0.500
Nb 0.364 0.636 0.500
Nb 0.636 0.364 0.500
Se 0.735 0.735 0.741
Se 0.049 0.391 0.696
Se 0.265 0.265 0.259
Se 0.391 0.049 0.696
Se 0.951 0.609 0.304
Se 0.609 0.951 0.304

Summary:
D(E_F) = 5.61 states/eV/f.u.
Formation energy from raw total energies = -0.807 eV per atom
Symmetry = C2/m (12)